# MnTlMo2O8 | the Alexandria database | GGA+U | relaxed
# Magnetization ... 4.00 μB/cell
# Calculated volume ... 208 Å³/cell
# Electronic total energy ... -0.4976 Ry per atom
# Symmetry ... No. 148
# Density of states at the Fermi level ... 0.4851 states/eV per atom
data_MnTlMo2O8
_chemical_formula_sum 'Mn1 Tl1 Mo2 O8'
_cell_length_a 5.344
_cell_length_b 5.344
_cell_length_c 8.961
_cell_angle_alpha 72.65
_cell_angle_beta 72.65
_cell_angle_gamma 60.00
_symmetry_space_group_name_H-M 'P 1'
_symmetry_Int_Tables_number 1
_symmetry_space_group_name_Hall 'P 1'
loop_
_atom_site_label
_atom_site_type_symbol
_atom_site_fract_x
_atom_site_fract_y
_atom_site_fract_z
O1 O 0.244 0.987 0.141
O2 O 0.987 0.629 0.141
O3 O 0.629 0.244 0.141
O4 O 0.371 0.756 0.859
O5 O 0.805 0.805 0.585
O6 O 0.013 0.371 0.859
O7 O 0.756 0.013 0.859
O8 O 0.195 0.195 0.415
Mo1 Mo 0.265 0.265 0.206
Mo2 Mo 0.735 0.735 0.794
Tl1 Tl 0.500 0.500 0.500
Mn1 Mn 0.000 0.000 0.000